Record 1
# La3TlN (PBE, optimized geometry)
data_La3TlN
_chemical_formula_sum 'La18 Tl6 N6'
_symmetry_space_group_name_H-M 'R -3'
_symmetry_Int_Tables_number 148
_symmetry_space_group_name_Hall '-R 3'
_cell_length_a 6.5189
_cell_length_b 6.5189
_cell_length_c 24.2339
_cell_angle_alpha 90.00
_cell_angle_beta 90.00
_cell_angle_gamma 120.00
loop_
_atom_site_label
_atom_site_type_symbol
_atom_site_fract_x
_atom_site_fract_y
_atom_site_fract_z
La1 La 0.0014 0.3559 0.0599
Tl1 Tl 0.0000 0.0000 0.1634
N1 N 0.0000 0.0000 0.3346
# **Magnetic moment**: 0.000 μB per atom
# **Formation energy without anion corrections**: -0.60 eV per atom

Record 2
# Dy12Ge5S28 (PBE, optimized geometry)
data_Dy12Ge5S28
_chemical_formula_sum 'Dy12 Ge5 S28'
_symmetry_space_group_name_H-M 'P 1'
_symmetry_Int_Tables_number 1
_symmetry_space_group_name_Hall 'P 1'
_cell_length_a 9.790
_cell_length_b 11.403
_cell_length_c 11.421
_cell_angle_alpha 61.91
_cell_angle_beta 64.63
_cell_angle_gamma 64.60
loop_
_atom_site_label
_atom_site_type_symbol
_atom_site_fract_x
_atom_site_fract_y
_atom_site_fract_z
Dy1 Dy 0.000 0.000 0.000
Dy2 Dy 0.002 0.468 0.514
Dy3 Dy 0.073 0.704 0.712
Dy4 Dy 0.084 0.192 0.228
Dy5 Dy 0.353 0.654 0.212
Dy6 Dy 0.355 0.174 0.671
Dy7 Dy 0.435 0.894 0.387
Dy8 Dy 0.446 0.350 0.915
Dy9 Dy 0.563 0.232 0.270
Dy10 Dy 0.585 0.741 0.745
Dy11 Dy 0.853 0.610 0.167
Dy12 Dy 0.867 0.134 0.631
Ge1 Ge 0.220 0.643 0.991
Ge2 Ge 0.550 0.511 0.465
Ge3 Ge 0.554 0.001 0.953
Ge4 Ge 0.884 0.430 0.873
Ge5 Ge 0.885 0.928 0.369
S1 S 0.062 0.164 0.728
S2 S 0.066 0.654 0.229
S3 S 0.117 0.956 0.523
S4 S 0.120 0.454 0.027
S5 S 0.122 0.438 0.721
S6 S 0.124 0.935 0.217
S7 S 0.314 0.152 0.943
S8 S 0.316 0.671 0.460
S9 S 0.317 0.825 0.947
S10 S 0.318 0.370 0.426
S11 S 0.356 0.635 0.763
S12 S 0.381 0.158 0.206
S13 S 0.466 0.482 0.056
S14 S 0.475 0.982 0.547
S15 S 0.549 0.321 0.650
S16 S 0.554 0.816 0.145
S17 S 0.637 0.470 0.266
S18 S 0.646 0.968 0.751
S19 S 0.689 0.643 0.432
S20 S 0.711 0.121 0.912
S21 S 0.735 0.461 0.750
S22 S 0.743 0.965 0.239
S23 S 0.791 0.631 0.909
S24 S 0.793 0.126 0.410
S25 S 0.878 0.247 0.067
S26 S 0.892 0.734 0.553
S27 S 0.953 0.341 0.396
S28 S 0.985 0.804 0.928
# **Magnetic moment**: 0.000 μB per atom
# **Formation energy without anion corrections**: -1.48 eV per atom